(1)
Ba2Pr2Co4O11 at its PBEsol-relaxed geometry. Source: Alexandria via LeMat-Bulk, functional SCAN.

Lattice parameters (Å, degrees): 3.8011 7.5201 7.8726 90.00 90.00 90.00
With the nearest neighbours (Å) after each atom.
Fractional coordinates of all 19 atoms:
Ba  0.0000  0.0000  0.2490  12 O 2.73-2.97
Ba  0.0000  0.0000  0.7510  12 O 2.73-2.97
Pr  0.0000  0.5000  0.2669  10 O 2.49-2.64
Pr  0.0000  0.5000  0.7331  10 O 2.49-2.64
Co  0.5000  0.2468  0.0000  5 O 1.86-1.94
Co  0.5000  0.2474  0.5000  4 O 1.86-1.90
Co  0.5000  0.7532  0.0000  5 O 1.86-1.94
Co  0.5000  0.7526  0.5000  4 O 1.86-1.90
O  0.0000  0.2645  0.5000  2 Co 1.90
O  0.0000  0.2971  0.0000  2 Co 1.94
O  0.0000  0.7029  0.0000  2 Co 1.94
O  0.0000  0.7355  0.5000  2 Co 1.90
O  0.5000  0.0000  0.0000  2 Co 1.86
O  0.5000  0.0000  0.5000  2 Co 1.86
O  0.5000  0.2887  0.2343  1 Co 1.87
O  0.5000  0.2887  0.7657  1 Co 1.87
O  0.5000  0.5000  0.5000  2 Co 1.90
O  0.5000  0.7113  0.2343  1 Co 1.87
O  0.5000  0.7113  0.7657  1 Co 1.87

## Properties
SG: Pmmm, No. 47
total moment: 2.0 μB/cell
calculated total energy: -346.4 eV per formula unit

***

(2)
Ba4CoRe2O12 at its PBEsol-relaxed geometry. Source: Alexandria via LeMat-Bulk, functional SCAN.

Lattice parameters (Å, degrees): 9.7711 9.7711 9.7711 33.76 33.76 33.76
With the nearest neighbours (Å) after each atom.
Fractional coordinates of all 19 atoms:
Ba  0.1311  0.1311  0.1311  12 O 2.83-2.98
Ba  0.2915  0.2915  0.2915  12 O 2.78-2.84
Ba  0.7085  0.7085  0.7085  12 O 2.78-2.84
Ba  0.8689  0.8689  0.8689  12 O 2.83-2.98
Co  0.0000  0.0000  0.0000  6 O 2.07
Re  0.4184  0.4184  0.4184  6 O 1.84-1.96
Re  0.5816  0.5816  0.5816  6 O 1.84-1.96
O  0.1378  0.6125  0.6125  1 Re 1.84
O  0.2156  0.2156  0.6965  1 Re 1.96, 1 Co 2.07
O  0.2156  0.6965  0.2156  1 Re 1.96, 1 Co 2.07
O  0.3035  0.7844  0.7844  1 Re 1.96, 1 Co 2.07
O  0.3875  0.3875  0.8622  1 Re 1.84
O  0.3875  0.8622  0.3875  1 Re 1.84
O  0.6125  0.1378  0.6125  1 Re 1.84
O  0.6125  0.6125  0.1378  1 Re 1.84
O  0.6965  0.2156  0.2156  1 Re 1.96, 1 Co 2.07
O  0.7844  0.3035  0.7844  1 Re 1.96, 1 Co 2.07
O  0.7844  0.7844  0.3035  1 Re 1.96, 1 Co 2.07
O  0.8622  0.3875  0.3875  1 Re 1.84

## Properties
SG: R-3m, No. 166
total moment: 3.0 μB/cell
calculated total energy: -437.9 eV per formula unit

***

(3)
Ba2CoReO6 at its PBEsol-relaxed geometry. Source: Alexandria via LeMat-Bulk, functional SCAN.

Lattice parameters (Å, degrees): 5.6790 5.6790 5.6790 60.00 60.00 60.00
With the nearest neighbours (Å) after each atom.
Fractional coordinates of all 10 atoms:
Ba  0.2500  0.2500  0.2500  12 O 2.84
Ba  0.7500  0.7500  0.7500  12 O 2.84
Co  0.0000  0.0000  0.0000  6 O 2.09
Re  0.5000  0.5000  0.5000  6 O 1.93
O  0.2602  0.2602  0.7398  1 Re 1.93, 1 Co 2.09
O  0.2602  0.7398  0.2602  1 Re 1.93, 1 Co 2.09
O  0.2602  0.7398  0.7398  1 Re 1.93, 1 Co 2.09
O  0.7398  0.2602  0.2602  1 Re 1.93, 1 Co 2.09
O  0.7398  0.2602  0.7398  1 Re 1.93, 1 Co 2.09
O  0.7398  0.7398  0.2602  1 Re 1.93, 1 Co 2.09

## Properties
SG: Fm-3m, No. 225
total moment: 2.0 μB/cell
calculated total energy: -227.7 eV per formula unit

***

(4)
Ba3CoRu2O9 at its PBEsol-relaxed geometry. Source: Alexandria via LeMat-Bulk, functional SCAN.

Lattice parameters (Å, degrees): 5.7016 5.7016 14.0016 90.00 90.00 120.00
With the nearest neighbours (Å) after each atom.
Fractional coordinates of all 30 atoms:
Ba  0.0000  0.0000  0.2500  12 O 2.85-2.89
Ba  0.0000  0.0000  0.7500  12 O 2.85-2.89
Ba  0.3333  0.6667  0.0900  12 O 2.85-2.89
Ba  0.3333  0.6667  0.4100  12 O 2.85-2.89
Ba  0.6667  0.3333  0.5900  12 O 2.85-2.89
Ba  0.6667  0.3333  0.9100  12 O 2.85-2.89
Co  0.0000  0.0000  0.0000  6 O 2.00
Co  0.0000  0.0000  0.5000  6 O 2.00
Ru  0.3333  0.6667  0.6526  6 O 1.92-2.02
Ru  0.3333  0.6667  0.8474  6 O 1.92-2.02
Ru  0.6667  0.3333  0.1526  6 O 1.92-2.02
Ru  0.6667  0.3333  0.3474  6 O 1.92-2.02
O  0.0307  0.5153  0.7500  2 Ru 2.02
O  0.1677  0.3355  0.5806  1 Ru 1.92, 1 Co 2.00
O  0.1677  0.3355  0.9194  1 Ru 1.92, 1 Co 2.00
O  0.1677  0.8323  0.5806  1 Ru 1.92, 1 Co 2.00
O  0.1677  0.8323  0.9194  1 Ru 1.92, 1 Co 2.00
O  0.3355  0.1677  0.0806  1 Ru 1.92, 1 Co 2.00
O  0.3355  0.1677  0.4194  1 Ru 1.92, 1 Co 2.00
O  0.4847  0.5153  0.7500  2 Ru 2.02
O  0.4847  0.9693  0.7500  2 Ru 2.02
O  0.5153  0.0307  0.2500  2 Ru 2.02
O  0.5153  0.4847  0.2500  2 Ru 2.02
O  0.6645  0.8323  0.5806  1 Ru 1.92, 1 Co 2.00
O  0.6645  0.8323  0.9194  1 Ru 1.92, 1 Co 2.00
O  0.8323  0.1677  0.0806  1 Ru 1.92, 1 Co 2.00
O  0.8323  0.1677  0.4194  1 Ru 1.92, 1 Co 2.00
O  0.8323  0.6645  0.0806  1 Ru 1.92, 1 Co 2.00
O  0.8323  0.6645  0.4194  1 Ru 1.92, 1 Co 2.00
O  0.9693  0.4847  0.2500  2 Ru 2.02

## Properties
SG: P6_3/mmc, No. 194
total moment: 18.1 μB/cell
calculated total energy: -292.8 eV per formula unit

***

(5)
Ba2CoSi2O7 at its PBEsol-relaxed geometry. Source: Alexandria via LeMat-Bulk, functional SCAN.

Lattice parameters (Å, degrees): 6.8282 6.8282 8.4412 103.37 103.37 103.61
With the nearest neighbours (Å) after each atom.
Fractional coordinates of all 24 atoms:
Ba  0.1864  0.2679  0.4738  8 O 2.68-2.92
Ba  0.2679  0.1864  0.9738  8 O 2.68-2.92
Ba  0.7321  0.8136  0.0262  8 O 2.68-2.92
Ba  0.8136  0.7321  0.5262  8 O 2.68-2.92
Co  0.2567  0.7433  0.2500  4 O 1.94-1.95
Co  0.7433  0.2567  0.7500  4 O 1.94-1.95
Si  0.1667  0.6059  0.8623  4 O 1.61-1.68
Si  0.3941  0.8333  0.6377  4 O 1.61-1.68
Si  0.6059  0.1667  0.3623  4 O 1.61-1.68
Si  0.8333  0.3941  0.1377  4 O 1.61-1.68
O  0.0216  0.7615  0.8662  1 Si 1.61
O  0.0401  0.3546  0.7611  1 Si 1.64
O  0.2385  0.9784  0.6338  1 Si 1.61
O  0.3266  0.6224  0.0465  1 Si 1.64
O  0.3344  0.6656  0.7500  2 Si 1.68
O  0.3546  0.0401  0.2611  1 Si 1.64
O  0.3776  0.6734  0.4535  1 Si 1.64
O  0.6224  0.3266  0.5465  1 Si 1.64
O  0.6454  0.9599  0.7389  1 Si 1.64
O  0.6656  0.3344  0.2500  2 Si 1.68
O  0.6734  0.3776  0.9535  1 Si 1.64
O  0.7615  0.0216  0.3662  1 Si 1.61
O  0.9599  0.6454  0.2389  1 Si 1.64
O  0.9784  0.2385  0.1338  1 Si 1.61

## Properties
E above lowest polymorph: 0.000 eV/f.u.
SG: C2/c, No. 15
total moment: 6.0 μB/cell

***

(6)
Ba2CoSi2O7 at its PBEsol-relaxed geometry. Source: Alexandria via LeMat-Bulk, functional SCAN.

Lattice parameters (Å, degrees): 8.2005 8.2005 5.4086 90.00 90.00 90.00
With the nearest neighbours (Å) after each atom.
Fractional coordinates of all 24 atoms:
Ba  0.1653  0.3347  0.0089  8 O 2.65-2.93
Ba  0.3347  0.8347  0.9911  8 O 2.65-2.93
Ba  0.6653  0.1653  0.9911  8 O 2.65-2.93
Ba  0.8347  0.6653  0.0089  8 O 2.65-2.93
Co  0.0000  0.0000  0.5000  4 O 1.96
Co  0.5000  0.5000  0.5000  4 O 1.96
Si  0.1371  0.6371  0.5389  4 O 1.61-1.68
Si  0.3629  0.1371  0.4611  4 O 1.61-1.68
Si  0.6371  0.8629  0.4611  4 O 1.61-1.68
Si  0.8629  0.3629  0.5389  4 O 1.61-1.68
O  0.0000  0.5000  0.6390  2 Si 1.68
O  0.0783  0.8066  0.6763  1 Si 1.65
O  0.1386  0.6386  0.2408  1 Si 1.61
O  0.1934  0.0783  0.3237  1 Si 1.65
O  0.3066  0.5783  0.6763  1 Si 1.65
O  0.3614  0.1386  0.7592  1 Si 1.61
O  0.4217  0.3066  0.3237  1 Si 1.65
O  0.5000  0.0000  0.3610  2 Si 1.68
O  0.5783  0.6934  0.3237  1 Si 1.65
O  0.6386  0.8614  0.7592  1 Si 1.61
O  0.6934  0.4217  0.6763  1 Si 1.65
O  0.8066  0.9217  0.3237  1 Si 1.65
O  0.8614  0.3614  0.2408  1 Si 1.61
O  0.9217  0.1934  0.6763  1 Si 1.65

## Properties
E above lowest polymorph: 0.076 eV/f.u.
SG: P-42_1m, No. 113
total moment: 6.0 μB/cell

***

no.,N(E_F) (states/eV/cell)
1,6.8
2,0.0
3,3.1
4,6.4
5,0.0
6,0.0